Here is Er2Zn after structural relaxation from the Open Quantum Materials Database. Energies are from PBE-GGA.

Computed properties:
- Crystal system: cubic
- Energy of formation: 0.48 eV per atom
- M_tot: 0.0 μB per formula unit

abc: 8.693 8.693 8.693
angles: 90.00 90.00 90.00
Space group Fd-3m (No. 227, origin choice 2)
Asymmetric unit:
Er  0.000  0.000  0.000
Zn  0.125  0.125  0.625